a) {"formula": "CaSnTe2N", "functional": "PBE", "state": "optimized geometry", "lattice_angstrom": [[5.8904, 0.0000, 0.0000], [0.0000, 5.8904, 0.0000], [0.0000, 0.0000, 4.0512]], "species": ["Ca", "Sn", "Te", "Te", "N"], "fractional_positions": [[0.0000, 0.0000, 0.0000], [0.5000, 0.5000, 0.5000], [0.0000, 0.5000, 0.5000], [0.5000, 0.0000, 0.5000], [0.5000, 0.5000, 0.0000]]}



b) {"formula": "CaSnTe2N", "functional": "PBE", "state": "optimized geometry", "lattice_angstrom": [[5.9469, 0.0000, 0.0000], [0.0000, 5.9469, 0.0000], [0.0000, 0.0000, 4.2656]], "species": ["Ca", "Sn", "Te", "Te", "N"], "fractional_positions": [[0.0000, 0.0000, 0.0000], [0.5000, 0.5000, 0.5000], [0.0000, 0.5000, 0.0000], [0.5000, 0.0000, 0.0000], [0.0000, 0.0000, 0.5000]]}



Stability, highest: a)



a) {"formula": "Sr3CaN", "functional": "PBE", "state": "optimized geometry", "lattice_angstrom": [[7.8298, 0.0000, 0.0000], [0.0000, 5.4644, 0.0000], [0.0000, 0.0000, 8.4469]], "species": ["Sr", "Sr", "Sr", "Sr", "Sr", "Sr", "Ca", "Ca", "N", "N"], "fractional_positions": [[0.0000, 0.0000, 0.2096], [0.0000, 0.0000, 0.7904], [0.2500, 0.5000, 0.9998], [0.5000, 0.0000, 0.2096], [0.5000, 0.0000, 0.7904], [0.7500, 0.5000, 0.0002], [0.2500, 0.5000, 0.4998], [0.7500, 0.5000, 0.5002], [0.2500, 0.0000, 0.9999], [0.7500, 0.0000, 0.0001]]}



b) {"formula": "Sr3CaN", "functional": "PBE", "state": "optimized geometry", "lattice_angstrom": [[6.5960, 0.0000, 0.0000], [0.0000, 6.5960, 0.0000], [0.0000, 0.0000, 6.5960]], "species": ["Sr", "Sr", "Sr", "Ca", "N"], "fractional_positions": [[0.0000, 0.0000, 0.5000], [0.0000, 0.5000, 0.0000], [0.5000, 0.0000, 0.0000], [0.0000, 0.0000, 0.0000], [0.5000, 0.5000, 0.5000]]}



c) {"formula": "Sr3CaN", "functional": "PBE", "state": "optimized geometry", "lattice_angstrom": [[5.5346, 0.0000, 0.0000], [0.0000, 5.5346, 0.0000], [0.0000, 0.0000, 5.5346]], "species": ["Sr", "Sr", "Sr", "Ca", "N"], "fractional_positions": [[0.0000, 0.0000, 0.5000], [0.0000, 0.5000, 0.0000], [0.5000, 0.0000, 0.0000], [0.5000, 0.5000, 0.5000], [0.0000, 0.0000, 0.0000]]}



Stability, highest: a)